Entry from the Alexandria database: a geometry-optimized Cs6K4Rb19 structure (PBE-GGA).

Values from the calculation:
* formation enthalpy at 0 K: 0.0540 eV/atom
* N(E_F): 49.0 states/eV/cell
* electronic total energy: -52.661 eV/cell
* total magnetic moment: 0.00 Bohr magnetons per cell

The structure in CIF format:
```
data_Cs6K4Rb19
_cell_length_a 17.8423
_cell_length_b 17.8423
_cell_length_c 17.8423
_cell_angle_alpha 90.00
_cell_angle_beta 90.00
_cell_angle_gamma 90.00
_symmetry_space_group_name_H-M 'I 2 3'
_symmetry_Int_Tables_number 197
_symmetry_space_group_name_Hall 'I 2 2 3'
loop_
_atom_site_label
_atom_site_fract_x
_atom_site_fract_y
_atom_site_fract_z
_atom_site_occupancy
Cs1 0.0000 0.3576 0.5000 1
K1 0.1807 0.1807 0.8193 1
Rb1 0.0000 0.0000 0.0000 1
Rb2 0.0000 0.0000 0.2552 1
Rb3 0.0666 0.2533 0.2727 1
```

---

Entry from the Alexandria database: a geometry-optimized Ac4GaOs structure (PBE-GGA).

Values from the calculation:
* formation enthalpy at 0 K: -0.1313 eV/atom
* N(E_F): 21.6 states/eV/cell
* electronic total energy: -125.913 eV/cell
* total magnetic moment: 0.00 Bohr magnetons per cell

The structure in CIF format:
```
data_Ac4GaOs
_cell_length_a 9.6851
_cell_length_b 15.9009
_cell_length_c 7.4159
_cell_angle_alpha 90.00
_cell_angle_beta 127.21
_cell_angle_gamma 90.00
_symmetry_space_group_name_H-M 'C 1 2/c 1'
_symmetry_Int_Tables_number 15
loop_
_symmetry_equiv_pos_as_xyz
'x,y,z'
'-x,-y,-z'
'-x,y,-z+1/2'
'x,-y,z+1/2'
'x+1/2,y+1/2,z'
'-x+1/2,-y+1/2,-z'
'-x+1/2,y+1/2,-z+1/2'
'x+1/2,-y+1/2,z+1/2'
loop_
_atom_site_label
_atom_site_fract_x
_atom_site_fract_y
_atom_site_fract_z
_atom_site_occupancy
Ac1 0.1606 0.2104 0.1594 1
Ac2 0.2398 0.0380 0.7361 1
Ga1 0.0000 0.3783 0.7500 1
Os1 0.0000 0.0827 0.2500 1
```

---

Entry from the Alexandria database: a geometry-optimized Tb5Sm2Y2 structure (PBE-GGA).

Values from the calculation:
* formation enthalpy at 0 K: 0.0162 eV/atom
* N(E_F): 23.8 states/eV/cell
* electronic total energy: -90.745 eV/cell
* total magnetic moment: 0.00 Bohr magnetons per cell

The structure in CIF format:
```
data_Tb5Sm2Y2
_cell_length_a 15.1873
_cell_length_b 5.0587
_cell_length_c 7.9993
_cell_angle_alpha 90.00
_cell_angle_beta 108.44
_cell_angle_gamma 90.00
_symmetry_space_group_name_H-M 'C 1 2/m 1'
_symmetry_Int_Tables_number 12
loop_
_symmetry_equiv_pos_as_xyz
'x,y,z'
'-x,-y,-z'
'-x,y,-z'
'x,-y,z'
'x+1/2,y+1/2,z'
'-x+1/2,-y+1/2,-z'
'-x+1/2,y+1/2,-z'
'x+1/2,-y+1/2,z'
loop_
_atom_site_label
_atom_site_fract_x
_atom_site_fract_y
_atom_site_fract_z
_atom_site_occupancy
Tb1 0.0000 0.0000 0.0000 1
Tb2 0.1668 0.5000 0.0001 1
Tb3 0.2218 0.0000 0.3321 1
Sm1 0.1118 0.0000 0.6676 1
Y1 0.0561 0.5000 0.3326 1
```